Entry 1:
Compound: HfSBr3
Source: the Alexandria database
Functional: GGA-PBE
Structure: relaxed

Lattice parameters (Å, degrees): 8.432 8.432 13.263 93.30 93.30 127.19
Positions (direct):
Hf1 0.024 0.149 0.140
Hf2 0.149 0.024 0.640
Hf3 0.851 0.976 0.360
Hf4 0.976 0.851 0.860
S1 0.055 0.702 0.703
S2 0.298 0.945 0.797
S3 0.702 0.055 0.203
S4 0.945 0.298 0.297
Br1 0.049 0.227 0.535
Br2 0.189 0.262 0.795
Br3 0.202 0.483 0.080
Br4 0.227 0.049 0.035
Br5 0.262 0.189 0.295
Br6 0.483 0.202 0.580
Br7 0.517 0.798 0.420
Br8 0.738 0.811 0.705
Br9 0.773 0.951 0.965
Br10 0.798 0.517 0.920
Br11 0.811 0.738 0.205
Br12 0.951 0.773 0.465

Results
Energy above the lowest structure with this stoichiometry in kJ per mole of atoms: 0.00
Volume in Å³ per cell: 744.8

Entry 2:
Compound: LiAl2InPb
Source: the Alexandria database
Functional: GGA-PBE
Structure: relaxed

Lattice parameters (Å, degrees): 4.798 4.798 5.070 90.00 90.00 90.00
Positions (direct):
Li1 0.000 0.000 0.000
Al1 0.000 0.500 0.000
Al2 0.500 0.000 0.000
In1 0.000 0.000 0.500
Pb1 0.500 0.500 0.500

Results
Energy of formation from the pure elements in eV/atom: 0.37
Volume in Å³ per cell: 116.7

Entry 3:
Compound: LiHgRu2
Source: the Alexandria database
Functional: GGA-PBE
Structure: relaxed

Lattice parameters (Å, degrees): 5.230 5.230 5.230 138.84 138.84 59.62
Positions (direct):
Li1 0.000 0.000 0.000
Hg1 0.500 0.500 0.000
Ru1 0.250 0.750 0.500
Ru2 0.750 0.250 0.500

Results
Energy of formation from the pure elements in eV/atom: 0.38
Volume in Å³ per cell: 61.4

no.,DOS at the Fermi energy (states/eV/atom),uncorrected energy (eV per atom)
1,0.000,-5.06
2,0.647,-2.80
3,1.256,-4.81